No. 1
# RbTcRhN2

RbTcRhN2 after structural relaxation (PBEsol, Alexandria via LeMat-Bulk).

Lattice parameters (Å, degrees): 3.9206 3.9206 5.1768 90.00 90.00 90.00
With the nearest neighbours (Å) after each atom.
Atoms (fractional coordinates):
Rb 0.0000 0.0000 0.0000  4 Tc 2.77
Tc 0.5000 0.5000 0.0000  2 Rh 2.59, 4 Rb 2.77
Rh 0.5000 0.5000 0.5000  4 N 1.96
N 0.0000 0.5000 0.5000  2 Rh 1.96
N 0.5000 0.0000 0.5000  2 Rh 1.96

Summary:
raw formation energy	1744	meV/atom
spin magnetization	3.85	μB/f.u.

No. 2
# RbRuSe2N

RbRuSe2N after structural relaxation (PBEsol, Alexandria via LeMat-Bulk).

Lattice parameters (Å, degrees): 5.5287 5.5287 4.2163 90.00 90.00 90.00
With the nearest neighbours (Å) after each atom.
Atoms (fractional coordinates):
Rb 0.0000 0.0000 0.0000  2 N 2.11
Ru 0.5000 0.5000 0.5000  8 Se 3.48
Se 0.0000 0.5000 0.0000  2 Rb 2.76
Se 0.5000 0.0000 0.0000  2 Rb 2.76
N 0.0000 0.0000 0.5000  2 Rb 2.11

Summary:
raw formation energy	2571	meV/atom
spin magnetization	5.54	μB/f.u.

No. 3
# Rb2RuWN

Rb2RuWN after structural relaxation (PBEsol, Alexandria via LeMat-Bulk).

Lattice parameters (Å, degrees): 6.4699 6.4699 3.6340 90.00 90.00 90.00
With the nearest neighbours (Å) after each atom.
Atoms (fractional coordinates):
Rb 0.0000 0.5000 0.0000  2 Ru 3.23
Rb 0.5000 0.0000 0.0000  2 Ru 3.23
Ru 0.0000 0.0000 0.0000  2 N 1.82
W 0.5000 0.5000 0.5000  2 W 3.63, 8 Rb 3.71
N 0.0000 0.0000 0.5000  2 Ru 1.82

Summary:
raw formation energy	1778	meV/atom
spin magnetization	4.85	μB/f.u.